1.
Entry from Alexandria: a relaxed structure of Y2GaTcW (GGA-PBE).

Properties
SG = P4/mmm, No. 123
N(E_F) = 8.18 states/eV/f.u.
VASP energy = -6.66 eV/atom

Unit cell a=5.256 b=5.256 c=4.673 alpha=90.00 beta=90.00 gamma=90.00
Fractional coordinates of all 5 atoms:
Y1 0.000 0.500 0.000
Y2 0.500 0.000 0.000
Ga1 0.000 0.000 0.000
Tc1 0.500 0.500 0.500
W1 0.000 0.000 0.500

***

2.
Entry from Alexandria: a relaxed structure of Sc3InO (GGA-PBE).

Properties
SG = C2/c, No. 15
N(E_F) = 4.47 states/eV/f.u.
E_form (uncorrected) = -1.254 eV per atom

Unit cell a=8.426 b=8.426 c=6.677 alpha=103.61 beta=103.61 gamma=72.70
Fractional coordinates of all 20 atoms:
Sc1 0.034 0.294 0.629
Sc2 0.089 0.657 0.859
Sc3 0.294 0.034 0.129
Sc4 0.314 0.404 0.477
Sc5 0.343 0.911 0.641
Sc6 0.404 0.314 0.977
Sc7 0.596 0.686 0.023
Sc8 0.657 0.089 0.359
Sc9 0.686 0.596 0.523
Sc10 0.706 0.966 0.871
Sc11 0.911 0.343 0.141
Sc12 0.966 0.706 0.371
In1 0.000 0.000 0.250
In2 0.000 0.000 0.750
In3 0.326 0.674 0.250
In4 0.674 0.326 0.750
O1 0.220 0.417 0.749
O2 0.417 0.220 0.249
O3 0.583 0.780 0.751
O4 0.780 0.583 0.251

***

3.
Entry from Alexandria: a relaxed structure of RbPdNF2 (GGA-PBE).

Properties
SG = P4/mmm, No. 123
N(E_F) = 2.21 states/eV/f.u.
E above lowest polymorph = 0 meV/atom
E_form (uncorrected) = -0.877 eV per atom

Unit cell a=4.742 b=4.742 c=3.684 alpha=90.00 beta=90.00 gamma=90.00
Fractional coordinates of all 5 atoms:
Rb1 0.000 0.000 0.000
Pd1 0.500 0.500 0.500
N1 0.500 0.500 0.000
F1 0.000 0.500 0.500
F2 0.500 0.000 0.500

***

Look up the N(E_F) of the first one. 8.18 states/eV/f.u.

***

Please write out number 2 again, unchanged.
Entry from Alexandria: a relaxed structure of Sc3InO (GGA-PBE).

Properties
SG = C2/c, No. 15
N(E_F) = 4.47 states/eV/f.u.
E_form (uncorrected) = -1.254 eV per atom

Unit cell a=8.426 b=8.426 c=6.677 alpha=103.61 beta=103.61 gamma=72.70
Fractional coordinates of all 20 atoms:
Sc1 0.034 0.294 0.629
Sc2 0.089 0.657 0.859
Sc3 0.294 0.034 0.129
Sc4 0.314 0.404 0.477
Sc5 0.343 0.911 0.641
Sc6 0.404 0.314 0.977
Sc7 0.596 0.686 0.023
Sc8 0.657 0.089 0.359
Sc9 0.686 0.596 0.523
Sc10 0.706 0.966 0.871
Sc11 0.911 0.343 0.141
Sc12 0.966 0.706 0.371
In1 0.000 0.000 0.250
In2 0.000 0.000 0.750
In3 0.326 0.674 0.250
In4 0.674 0.326 0.750
O1 0.220 0.417 0.749
O2 0.417 0.220 0.249
O3 0.583 0.780 0.751
O4 0.780 0.583 0.251

***

Which of these has the lowest N(E_F)? RbPdNF2